Material: PrTl2SbS4
Method: DFT, PBE
State: relaxed

## Properties
As for the electronic total energy: -37.0 eV per formula unit. The uncorrected formation energy is -0.85 eV per atom. The calculation puts the density at 6.1 g cm⁻³. Its calculated volume is 27.4 Å³ per atom.

The structure in CIF format:
```
data_PrTl2SbS4
_chemical_formula_sum 'Pr4 Tl8 Sb4 S16'
_symmetry_space_group_name_H-M 'I m m a'
_symmetry_Int_Tables_number 74
_symmetry_space_group_name_Hall '-I 2b 2'
_cell_length_a 8.475
_cell_length_b 8.575
_cell_length_c 12.067
_cell_angle_alpha 90.00
_cell_angle_beta 90.00
_cell_angle_gamma 90.00
loop_
_atom_site_label
_atom_site_type_symbol
_atom_site_fract_x
_atom_site_fract_y
_atom_site_fract_z
_atom_site_occupancy
Pr1 Pr 0.000 0.000 0.000 1
Tl1 Tl 0.000 0.000 0.500 1
Tl2 Tl 0.250 0.250 0.250 1
Sb1 Sb 0.250 0.250 0.750 1
S1 S 0.000 0.032 0.762 1
S2 S 0.225 0.250 0.982 1
```